Here is a geometry-optimized KGa2ReGe structure from Alexandria. Energies are from GGA-PBE.

Calculated values
Relative energy among the computed polymorphs, eV/atom: 1.581
Formation enthalpy at 0 K, eV per formula unit: 7.349
Space group: No. 123
Size of the total moment, μB/f.u.: 4.15
Density of states at the Fermi level, states/eV/f.u.: 3.42
Raw total energy, eV/atom: -3.37

Unit cell a=5.053 b=5.053 c=5.924 alpha=90.00 beta=90.00 gamma=90.00
Sites, in units of the cell vectors:
K (0.000, 0.000, 0.000)
Ga (0.000, 0.500, 0.500)
Ga (0.500, 0.000, 0.500)
Re (0.500, 0.500, 0.000)
Ge (0.000, 0.000, 0.500)